Density functional theory data (GGA-PBE) for a relaxed structure of SrLi2MgAu4.

Computed properties:
E in eV/atom: -3.122
ΔE_f in eV/atom: -0.596

Structure (CIF):
```
data_SrLi2MgAu4
_cell_length_a 4.5446
_cell_length_b 4.5446
_cell_length_c 27.6295
_cell_angle_alpha 90.00
_cell_angle_beta 90.00
_cell_angle_gamma 120.00
_symmetry_space_group_name_H-M 'R -3 m'
_symmetry_Int_Tables_number 166
_symmetry_space_group_name_Hall '-R 3 2"'
loop_
_atom_site_label
_atom_site_fract_x
_atom_site_fract_y
_atom_site_fract_z
Sr1 0.0000 0.0000 0.0000
Li1 0.0000 0.0000 0.2348
Mg1 0.0000 0.0000 0.5000
Au1 0.0000 0.0000 0.1279
Au2 0.0000 0.0000 0.4022
```